A plane-wave DFT calculation with PBE-GGA was carried out for an optimized crystal structure of Y2Si3Ir2.

Geometry as POSCAR:
```
Y2Si3Ir2
1.0
-2.335 3.194 1.147
-0.434 -1.045 -5.374
-3.614 -4.017 3.828
Si Ir Y
3 2 2
Direct
0.376 0.752 0.562 Si
0.500 0.000 0.000 Si
0.624 0.248 0.438 Si
0.865 0.731 0.774 Ir
0.135 0.269 0.226 Ir
0.150 0.300 0.772 Y
0.850 0.700 0.228 Y
```

Total moment (μB per formula unit): 0.00
Distance to the lowest polymorph of the same formula (meV/atom): 84
Formation energy without anion corrections (eV per atom): -0.8295
Calculated total energy (eV/atom): -7.532
Calculated volume (Å³/atom): 17.825